Entry 1:
RbTaMn2Fe: relaxed, GGA-PBE.

Unit cell a=4.6318 b=4.8232 c=4.6318 alpha=90.00 beta=90.00 gamma=90.00
Positions (direct):
Ta: 0.5000 0.5000 0.5000
Mn: 0.0000 0.0000 0.5000
Mn: 0.5000 0.0000 0.0000
Fe: 0.0000 0.0000 0.0000
Rb: 0.0000 0.5000 0.0000

Calculated values
The crystal system is tetragonal. The calculation puts the total magnetization at 0.72 μB per atom. As for the electronic total energy: -5.933 eV/atom. The value obtained for the calculated volume is 20.7 A^3/atom.

=====

Entry 2:
MgMo2: relaxed, GGA-PBE.

Unit cell a=5.3318 b=5.3318 c=4.5145 alpha=90.00 beta=90.00 gamma=129.22
Positions (direct):
Mo: 0.7460 0.2540 0.2500
Mo: 0.2540 0.7460 0.7500
Mo: 0.6005 0.3995 0.7500
Mo: 0.3995 0.6005 0.2500
Mg: 0.0811 0.9189 0.2500
Mg: 0.9189 0.0811 0.7500

Calculated values
The crystal system is orthorhombic. The calculation puts the total magnetization at 0.00 μB per atom. As for the polymorph energy (0 for the lowest one): 0.082 eV/f.u. As for the electronic total energy: -7.540 eV/atom. The value obtained for the calculated volume is 16.6 A^3/atom.

=====

Entry 3:
ZrTcSb2: relaxed, GGA-PBE.

Unit cell a=5.3791 b=5.3791 c=5.3791 alpha=132.87 beta=132.87 gamma=68.86
Positions (direct):
Zr: 0.7500 0.2500 0.5000
Tc: 0.5000 0.5000 0.0000
Sb: 0.2500 0.7500 0.5000
Sb: 0.0000 0.0000 0.0000

Calculated values
Its raw formation energy is 0.0212 eV/atom. The crystal system is tetragonal. The calculation puts the total magnetization at 0.00 μB per atom. As for the polymorph energy (0 for the lowest one): 1.035 eV/f.u. As for the electronic total energy: -6.769 eV/atom. The value obtained for the calculated volume is 20.5 A^3/atom.

=====

Entry 4:
Ac2PrTmSe5: relaxed, GGA-PBE.

Unit cell a=5.0945 b=5.0945 c=11.1181 alpha=90.00 beta=90.00 gamma=90.00
Positions (direct):
Ac: 0.5000 0.5000 0.7129
Ac: 0.5000 0.5000 0.2871
Se: 0.5000 0.5000 0.0000
Se: 0.0000 0.0000 0.7485
Se: 0.5000 0.0000 0.5000
Se: 0.0000 0.0000 0.2515
Se: 0.0000 0.5000 0.5000
Tm: 0.0000 0.0000 0.5000
Pr: 0.0000 0.0000 0.0000

Calculated values
Its raw formation energy is -1.5318 eV/atom. The crystal system is tetragonal. The calculation puts the total magnetization at 0.00 μB per atom. As for the electronic total energy: -5.409 eV/atom. The value obtained for the calculated volume is 32.1 A^3/atom.

=====

Entry 5:
KY2Fe: relaxed, GGA-PBE.

Unit cell a=3.4540 b=3.4558 c=11.0722 alpha=71.72 beta=90.00 gamma=90.00
Positions (direct):
Y: 0.0000 0.9037 0.0974
Y: 0.0000 0.5963 0.4026
K: 0.5000 0.7500 0.7500
Fe: 0.5000 0.2500 0.2500

Calculated values
The crystal system is monoclinic. The calculation puts the total magnetization at 0.28 μB per atom. As for the polymorph energy (0 for the lowest one): 0.000 eV/f.u. As for the electronic total energy: -5.415 eV/atom. The value obtained for the calculated volume is 31.4 A^3/atom.

=====

Entry 6:
CaYPdO4: relaxed, GGA-PBE.

Unit cell a=7.3178 b=6.3972 c=6.9853 alpha=123.09 beta=90.00 gamma=124.89
Positions (direct):
O: 0.6905 0.9843 0.2422
O: 0.3095 0.0157 0.7578
O: 0.2939 0.9843 0.2422
O: 0.7890 0.5781 0.3488
O: 0.2110 0.4219 0.2708
O: 0.7061 0.0157 0.7578
O: 0.2110 0.4219 0.6512
O: 0.7890 0.5781 0.7292
Y: 0.5000 0.0000 0.5000
Y: 0.5000 0.0000 0.0000
Pd: 0.0000 0.5000 0.5000
Pd: 0.5000 0.5000 0.5000
Ca: 0.9333 0.8666 0.1833
Ca: 0.0667 0.1334 0.8167

Calculated values
Its raw formation energy is -2.1976 eV/atom. The crystal system is orthorhombic. The calculation puts the total magnetization at 0.00 μB per atom. As for the electronic total energy: -6.982 eV/atom. The value obtained for the calculated volume is 14.3 A^3/atom.

=====

Entry 7:
CeNd: relaxed, GGA-PBE.

Unit cell a=3.5302 b=4.9312 c=7.2097 alpha=90.00 beta=90.01 gamma=90.00
Positions (direct):
Nd: 0.2503 0.7500 0.6344
Nd: 0.7497 0.2500 0.3656
Ce: 0.7502 0.2500 0.8910
Ce: 0.2498 0.7500 0.1090

Calculated values
The crystal system is orthorhombic. The calculation puts the total magnetization at 0.18 μB per atom. As for the polymorph energy (0 for the lowest one): 0.000 eV/f.u. As for the electronic total energy: -5.255 eV/atom. The value obtained for the calculated volume is 31.4 A^3/atom.

=====

Entry 8:
La4TlTe2Br: relaxed, GGA-PBE.

Unit cell a=4.5690 b=7.9504 c=7.8146 alpha=70.57 beta=90.00 gamma=90.00
Positions (direct):
La: 0.0000 0.2527 0.2485
La: 0.5000 0.7493 0.2466
La: 0.0000 0.7473 0.7515
La: 0.5000 0.2507 0.7534
Te: 0.5000 0.0000 0.5000
Te: 0.0000 0.0000 0.0000
Tl: 0.5000 0.5000 0.0000
Br: 0.0000 0.5000 0.5000

Calculated values
Its raw formation energy is -1.2225 eV/atom. The crystal system is monoclinic. The calculation puts the total magnetization at 0.00 μB per atom. As for the electronic total energy: -4.976 eV/atom. The value obtained for the calculated volume is 33.5 A^3/atom.

=====

Entry 9:
K2ScCo: relaxed, GGA-PBE.

Unit cell a=5.4197 b=5.4197 c=5.4197 alpha=120.05 beta=120.05 gamma=89.91
Positions (direct):
Sc: 0.5000 0.5000 0.0000
K: 0.0000 0.0000 0.0000
K: 0.2500 0.7500 0.5000
Co: 0.7500 0.2500 0.5000

Calculated values
The crystal system is cubic. The calculation puts the total magnetization at 0.00 μB per atom. As for the polymorph energy (0 for the lowest one): 2.492 eV/f.u. As for the electronic total energy: -2.925 eV/atom. The value obtained for the calculated volume is 28.1 A^3/atom.